The following is a DFT calculation (GGA-PBE) of Rb2HfF after structural relaxation.

a = 8.855 Å, b = 8.855 Å, c = 8.855 Å
α = 90.00°, β = 90.00°, γ = 90.00°
Space group Fm-3m (No. 225)
One atom of each set of equivalent atoms:
Rb1 0.250 0.250 0.250 [8 per cell]
Hf1 0.000 0.000 0.000 [4 per cell]
F1 0.000 0.000 0.500 [4 per cell]

Properties
- Relative energy among the computed polymorphs: 0.4910 eV per atom
- Theoretical density: 3.524 Mg/m³
- Energy: -48.21 eV per cell

The following is a DFT calculation (GGA-PBE) of RbHf3F after structural relaxation.

a = 5.144 Å, b = 5.144 Å, c = 5.144 Å
α = 90.00°, β = 90.00°, γ = 90.00°
Space group Pm-3m (No. 221)
One atom of each set of equivalent atoms:
Rb1 0.000 0.000 0.000 [1 per cell]
Hf1 0.000 0.000 0.500 [3 per cell]
F1 0.500 0.500 0.500 [1 per cell]

Properties
- Relative energy among the computed polymorphs: 1.8324 eV per atom
- Theoretical density: 7.808 Mg/m³
- Energy: -21.39 eV per cell

The following is a DFT calculation (GGA-PBE) of Rb2HfF after structural relaxation.

a = 8.230 Å, b = 8.230 Å, c = 9.938 Å
α = 90.00°, β = 90.00°, γ = 90.00°
Space group I-42d (No. 122)
One atom of each set of equivalent atoms:
Rb1 0.121 0.750 0.125 [8 per cell]
Hf1 0.000 0.000 0.500 [4 per cell]
F1 0.000 0.000 0.000 [4 per cell]

Properties
- Relative energy among the computed polymorphs: 0.0000 eV per atom
- Theoretical density: 3.636 Mg/m³
- Energy: -56.07 eV per cell

The following is a DFT calculation (GGA-PBE) of Rb2HfF6 after structural relaxation.

a = 5.834 Å, b = 5.834 Å, c = 11.852 Å
α = 90.00°, β = 90.00°, γ = 90.00°
Space group P4_2/mnm (No. 136)
One atom of each set of equivalent atoms:
Rb1 0.000 0.000 0.163 [4 per cell]
Hf1 0.000 0.000 0.500 [2 per cell]
F1 0.168 0.168 0.377 [8 per cell]
F2 0.244 0.756 0.500 [4 per cell]

Properties
- Theoretical density: 3.816 Mg/m³
- Energy: -108.85 eV per cell

The following is a DFT calculation (GGA-PBE) of RbHfF5 after structural relaxation.

a = 13.536 Å, b = 7.996 Å, c = 7.991 Å
α = 90.00°, β = 90.00°, γ = 90.00°
Space group Cmce (No. 64)
One atom of each set of equivalent atoms:
Rb1 0.204 0.000 0.000 [8 per cell]
Hf1 0.000 0.162 0.339 [8 per cell]
F1 0.000 0.061 0.790 [8 per cell]
F2 0.000 0.210 0.063 [8 per cell]
F3 0.087 0.000 0.500 [8 per cell]
F4 0.143 0.214 0.290 [16 per cell]

Properties
- Theoretical density: 5.513 Mg/m³
- Energy: -363.57 eV per cell

The following is a DFT calculation (GGA-PBE) of Rb2HfReF6 after structural relaxation.

a = 5.877 Å, b = 5.877 Å, c = 12.126 Å
α = 90.00°, β = 90.00°, γ = 90.00°
Space group I4/mmm (No. 139)
One atom of each set of equivalent atoms:
Rb1 0.000 0.500 0.250 [4 per cell]
Hf1 0.000 0.000 0.000 [2 per cell]
Re1 0.000 0.000 0.500 [2 per cell]
F1 0.000 0.000 0.167 [4 per cell]
F2 0.243 0.243 0.000 [8 per cell]

Properties
- Theoretical density: 5.151 Mg/m³
- Energy: -114.91 eV per cell